12
Lattice="-4.987 -2.224 -1.739 -2.089 -7.473 6.105 -5.762 2.925 3.342" Properties=species:S:1:pos:R:3 comment="PmEr4Tl7 | Alexandria via LeMat-Bulk | GGA-PBE | relaxed" sg=C2/m delta_e_f_kcal_per_mol_atoms=-2.127 mass_density_g_cm3=10.303 magnetic_moment_mub_per_atom=0.000 pbc="T T T"
Tl -10.058 -2.088 3.189
Tl -5.706 -3.992 2.587
Pm 0.000 0.000 0.000
Er -10.117 -4.017 5.826
Er -5.933 -5.643 5.348
Tl -2.780 -4.684 4.519
Tl -8.862 -6.873 5.880
Er -2.721 -2.754 1.882
Tl -3.975 0.102 1.829
Tl -2.493 -1.112 -0.869
Tl -7.131 -2.779 5.121
Er -6.904 -1.128 2.360